DFT (GGA-PBE) results for an optimized crystal structure of DyY4Ho4.

## Properties
- Crystal system: tetragonal
- SG: I4/mmm
- DOS(E_F): 1.454 states/eV per atom
- Total DFT energy (no corrections): -5.395 eV/atom
- Spin magnetization: 0.0 μB/cell

Unit cell a=7.937 b=7.937 c=7.937 alpha=95.72 beta=95.72 gamma=143.21
Fractional positions:
Dy (0.000, 0.000, 0.000)
Y (0.333, 0.333, 0.667)
Y (0.333, 0.667, 0.000)
Y (0.667, 0.333, 0.000)
Y (0.667, 0.667, 0.333)
Ho (0.000, 0.335, 0.335)
Ho (0.000, 0.665, 0.665)
Ho (0.335, 0.000, 0.335)
Ho (0.665, 0.000, 0.665)